[1]
# Zn8Ag5Au

An optimized crystal structure of Zn8Ag5Au (PBE, the Alexandria database).

a = 6.7860 Å, b = 6.7860 Å, c = 6.7860 Å
α = 109.05°, β = 110.31°, γ = 109.05°
Closest atoms and distances in Å follow each position.
Sites, in units of the cell vectors:
Zn1 0.1270 0.6889 0.0565  1 Au 2.61, 5 Ag 2.62-2.79, 2 Zn 2.83-2.86
Ag1 0.5000 0.0000 0.5000  8 Zn 2.65-2.79
Zn2 0.5619 0.9295 0.8730  1 Au 2.61, 5 Ag 2.62-2.79, 2 Zn 2.83-2.86
Ag2 0.7916 0.7023 0.7047  6 Zn 2.62-2.86, 2 Ag 2.92
Zn3 0.3676 0.3111 0.4381  1 Au 2.61, 5 Ag 2.62-2.79, 2 Zn 2.83-2.86
Au1 0.2500 0.5000 0.7500  8 Zn 2.61-2.85
Zn4 0.7673 0.2792 0.3652  4 Zn 2.69-2.98, 5 Ag 2.79-2.97, 1 Au 2.85
Zn5 0.6348 0.4021 0.9141  4 Zn 2.69-2.98, 5 Ag 2.79-2.97, 1 Au 2.85
Ag3 0.9107 0.9131 0.2084  6 Zn 2.62-2.86, 2 Ag 2.92
Zn6 0.9435 0.0705 0.6324  1 Au 2.61, 5 Ag 2.62-2.79, 2 Zn 2.83-2.86
Zn7 0.5120 0.5979 0.2327  4 Zn 2.69-2.98, 5 Ag 2.79-2.97, 1 Au 2.85
Zn8 0.0859 0.7208 0.4880  4 Zn 2.69-2.98, 5 Ag 2.79-2.97, 1 Au 2.85
Ag4 0.0024 0.2977 0.0893  6 Zn 2.62-2.86, 2 Ag 2.92
Ag5 0.2953 0.0869 0.9976  6 Zn 2.62-2.86, 2 Ag 2.92

Crystal system: tetragonal


[2]
# Zn5Ag4Au

An optimized crystal structure of Zn5Ag4Au (PBE, the Alexandria database).

a = 3.2328 Å, b = 3.2328 Å, c = 15.4574 Å
α = 90.00°, β = 90.00°, γ = 90.00°
Closest atoms and distances in Å follow each position.
Sites, in units of the cell vectors:
Au1 0.0000 0.0000 0.0000  8 Zn 2.75
Ag1 0.0000 0.0000 0.5999  8 Zn 2.75-2.76, 1 Ag 3.08
Ag2 0.0000 0.0000 0.4001  8 Zn 2.75-2.76, 1 Ag 3.08
Zn1 0.5000 0.5000 0.6992  8 Ag 2.75-2.76, 1 Zn 3.08
Ag3 0.0000 0.0000 0.7993  8 Zn 2.76-2.78, 1 Ag 3.08
Zn2 0.5000 0.5000 0.0986  4 Au 2.75, 4 Ag 2.78, 1 Zn 3.05
Ag4 0.0000 0.0000 0.2007  8 Zn 2.76-2.78, 1 Ag 3.08
Zn3 0.5000 0.5000 0.3008  8 Ag 2.75-2.76, 1 Zn 3.08
Zn4 0.5000 0.5000 0.5000  8 Ag 2.76, 2 Zn 3.08
Zn5 0.5000 0.5000 0.9014  4 Au 2.75, 4 Ag 2.78, 1 Zn 3.05

Crystal system: tetragonal


[3]
# Zn6Ag3Au

An optimized crystal structure of Zn6Ag3Au (PBE, the Alexandria database).

a = 6.8152 Å, b = 7.2244 Å, c = 6.8585 Å
α = 90.00°, β = 82.25°, γ = 90.00°
Closest atoms and distances in Å follow each position.
Sites, in units of the cell vectors:
Zn1 0.7070 0.8453 0.2602  4 Zn 2.65-2.93, 1 Au 2.73, 3 Ag 2.74-2.93
Zn2 0.6998 0.2248 0.6049  1 Au 2.57, 3 Zn 2.58-2.85, 4 Ag 2.64-2.80
Zn3 0.8002 0.7248 0.8951  1 Au 2.57, 3 Zn 2.58-2.85, 4 Ag 2.64-2.80
Ag1 0.5000 0.5000 0.0000  4 Zn 2.64-2.78
Zn4 0.2930 0.1547 0.7398  4 Zn 2.65-2.93, 1 Au 2.73, 3 Ag 2.74-2.93
Zn5 0.1998 0.2752 0.1049  1 Au 2.57, 3 Zn 2.58-2.85, 4 Ag 2.64-2.80
Zn6 0.7930 0.3453 0.2398  4 Zn 2.65-2.93, 1 Au 2.73, 3 Ag 2.74-2.93
Ag2 0.9317 0.3733 0.8467  9 Zn 2.67-2.94, 1 Au 2.95
Au1 0.5000 0.5000 0.5000  6 Zn 2.57-2.77
Ag3 0.0000 0.0000 0.5000  4 Zn 2.64-2.78
Ag4 0.0683 0.6267 0.1533  9 Zn 2.67-2.94, 1 Au 2.95
Au2 0.0000 0.0000 0.0000  6 Zn 2.57-2.77
Zn7 0.2070 0.6547 0.7602  4 Zn 2.65-2.93, 1 Au 2.73, 3 Ag 2.74-2.93
Zn8 0.3756 0.8672 0.0293  3 Zn 2.56-2.77, 3 Ag 2.73-2.78, 1 Au 2.77
Ag5 0.5683 0.8733 0.6533  9 Zn 2.67-2.94, 1 Au 2.95
Zn9 0.6244 0.1328 0.9707  3 Zn 2.56-2.77, 3 Ag 2.73-2.78, 1 Au 2.77
Ag6 0.4317 0.1267 0.3467  9 Zn 2.67-2.94, 1 Au 2.95
Zn10 0.1244 0.3672 0.4707  3 Zn 2.56-2.77, 3 Ag 2.73-2.78, 1 Au 2.77
Zn11 0.3002 0.7752 0.3951  1 Au 2.57, 3 Zn 2.58-2.85, 4 Ag 2.64-2.80
Zn12 0.8756 0.6328 0.5293  3 Zn 2.56-2.77, 3 Ag 2.73-2.78, 1 Au 2.77

ΔE to the lowest computed polymorph (kcal/mol of atoms): 1.47
Crystal system: monoclinic


[4]
# Zr2Zn5Ag2Au3

An optimized crystal structure of Zr2Zn5Ag2Au3 (PBE, the Alexandria database).

a = 3.6392 Å, b = 3.6392 Å, c = 16.6315 Å
α = 96.28°, β = 96.28°, γ = 90.00°
Closest atoms and distances in Å follow each position.
Sites, in units of the cell vectors:
Zr1 0.2781 0.2781 0.5563  5 Au 2.93-3.25, 1 Ag 2.99, 4 Zr 3.17
Zn1 0.5000 0.5000 0.0000  4 Au 2.57
Zn2 0.0699 0.5699 0.1398  4 Zn 2.57, 2 Ag 2.71
Zn3 0.5699 0.0699 0.1398  4 Zn 2.57, 2 Ag 2.71
Ag1 0.6310 0.6310 0.2620  4 Zn 2.71, 1 Zr 2.99, 4 Au 3.02
Ag2 0.3690 0.3690 0.7380  4 Zn 2.71, 1 Zr 2.99, 4 Au 3.02
Zr2 0.7219 0.7219 0.4437  5 Au 2.93-3.25, 1 Ag 2.99, 4 Zr 3.17
Zn4 0.4301 0.9301 0.8602  4 Zn 2.57, 2 Ag 2.71
Au1 0.1792 0.1792 0.3584  5 Zr 2.93-3.25, 4 Ag 3.02
Au2 0.0000 0.0000 0.0000  4 Zn 2.57
Au3 0.8208 0.8208 0.6416  5 Zr 2.93-3.25, 4 Ag 3.02
Zn5 0.9301 0.4301 0.8602  4 Zn 2.57, 2 Ag 2.71

Crystal system: tetragonal


[5]
# ZrZn2AgAu

An optimized crystal structure of ZrZn2AgAu (PBE, the Alexandria database).

a = 4.7296 Å, b = 5.0585 Å, c = 4.7296 Å
α = 90.00°, β = 90.00°, γ = 90.00°
Closest atoms and distances in Å follow each position.
Sites, in units of the cell vectors:
Zr1 0.5000 0.5000 0.5000  4 Ag 3.34, 8 Zn 3.46
Au1 0.0000 0.0000 0.0000  4 Zn 2.36, 2 Ag 2.53
Zn1 0.0000 0.0000 0.5000  2 Au 2.36
Ag1 0.0000 0.5000 0.0000  2 Au 2.53
Zn2 0.5000 0.0000 0.0000  2 Au 2.36

Crystal system: tetragonal


[6]
# ZrZnAgAu2

An optimized crystal structure of ZrZnAgAu2 (PBE, the Alexandria database).

a = 4.7649 Å, b = 4.6834 Å, c = 4.7649 Å
α = 90.00°, β = 90.00°, γ = 90.00°
Closest atoms and distances in Å follow each position.
Sites, in units of the cell vectors:
Au1 0.5000 0.0000 0.0000  2 Zn 2.38
Zn1 0.0000 0.0000 0.0000  2 Ag 2.34, 4 Au 2.38
Zr1 0.5000 0.5000 0.5000  8 Au 3.34, 4 Ag 3.37
Ag1 0.0000 0.5000 0.0000  2 Zn 2.34
Au2 0.0000 0.0000 0.5000  2 Zn 2.38

Crystal system: tetragonal


[7]
# Zr5AgAu

An optimized crystal structure of Zr5AgAu (PBE, the Alexandria database).

a = 5.5655 Å, b = 5.5655 Å, c = 10.2479 Å
α = 97.59°, β = 97.59°, γ = 91.63°
Closest atoms and distances in Å follow each position.
Sites, in units of the cell vectors:
Ag1 0.0000 0.0000 0.5000  2 Zr 2.73
Zr1 0.4194 0.9870 0.3326  2 Au 2.86-3.08, 2 Zr 2.92-3.13, 1 Ag 3.07
Zr2 0.2469 0.4995 0.4875  2 Zr 2.79, 2 Au 2.84-3.00, 1 Ag 3.09
Zr3 0.8817 0.1183 0.2500  2 Ag 2.73, 2 Zr 2.92, 1 Au 2.97
Ag2 0.0000 0.0000 0.0000  2 Zr 2.73
Zr4 0.9870 0.4194 0.8326  2 Au 2.86-3.08, 2 Zr 2.92-3.13, 1 Ag 3.07
Zr5 0.5005 0.7531 0.0125  2 Zr 2.79, 2 Au 2.84-3.00, 1 Ag 3.09
Zr6 0.0130 0.5806 0.1674  2 Au 2.86-3.08, 2 Zr 2.92-3.13, 1 Ag 3.07
Zr7 0.1183 0.8817 0.7500  2 Ag 2.73, 2 Zr 2.92, 1 Au 2.97
Zr8 0.7531 0.5005 0.5125  2 Zr 2.79, 2 Au 2.84-3.00, 1 Ag 3.09
Zr9 0.5806 0.0130 0.6674  2 Au 2.86-3.08, 2 Zr 2.92-3.13, 1 Ag 3.07
Au1 0.5095 0.4905 0.2500  9 Zr 2.84-3.08
Zr10 0.4995 0.2469 0.9875  2 Zr 2.79, 2 Au 2.84-3.00, 1 Ag 3.09
Au2 0.4905 0.5095 0.7500  9 Zr 2.84-3.08

Crystal system: monoclinic


[8]
# ZrAg4Au

An optimized crystal structure of ZrAg4Au (PBE, the Alexandria database).

a = 5.4235 Å, b = 5.4235 Å, c = 5.4235 Å
α = 60.00°, β = 60.00°, γ = 60.00°
Closest atoms and distances in Å follow each position.
Sites, in units of the cell vectors:
Ag1 0.8746 0.3751 0.3751  6 Ag 2.71
Au1 0.7500 0.7500 0.7500  12 Ag 3.18, 4 Zr 3.32
Zr1 0.0000 0.0000 0.0000  12 Ag 3.18, 4 Au 3.32
Ag2 0.3751 0.3751 0.8746  6 Ag 2.71
Ag3 0.3751 0.8746 0.3751  6 Ag 2.71
Ag4 0.3751 0.3751 0.3751  6 Ag 2.71

Crystal system: cubic


Results for DFT formation energy: 47, -72, -4, -123, 511, 349, 38, 38 (in meV/atom, following the order of the records).
Results for mass density: 8.70, 9.82, 9.06, 10.04, 7.73, 10.28, 8.11, 10.59 (in Mg/m³, following the order of the records).